# 1
Density functional theory data (PBE) for an optimized crystal structure of Na5In2Hg5.

a b c (Å): 5.1724 5.1724 14.1203
angles (deg): 100.81 100.81 60.01
Fractional coordinates of all 12 atoms:
Na 0.0000 0.0000 0.0000
Na 0.1940 0.1940 0.5831
Na 0.2761 0.2761 0.8319
Na 0.7239 0.7239 0.1681
Na 0.8060 0.8060 0.4169
In 0.4299 0.4299 0.2849
In 0.5701 0.5701 0.7151
Hg 0.0994 0.0994 0.2932
Hg 0.3545 0.3545 0.0613
Hg 0.5000 0.5000 0.5000
Hg 0.6455 0.6455 0.9387
Hg 0.9006 0.9006 0.7068

## Properties
- distance to the lowest polymorph of the same formula (eV per atom) = 0.000
- mass density (Mg/m³) = 7.005
- uncorrected energy (eV/cell) = -16.0
- calculated formation energy (meV/atom) = -203

---

# 2
Density functional theory data (PBE) for an optimized crystal structure of ThGa2Au3.

a b c (Å): 8.8077 8.8077 10.4391
angles (deg): 106.52 106.52 28.40
Fractional coordinates of all 18 atoms:
Th 0.0000 0.0000 0.0000
Th 0.1514 0.1514 0.6978
Th 0.8486 0.8486 0.3022
Ga 0.2011 0.2011 0.0929
Ga 0.3516 0.3516 0.5491
Ga 0.4820 0.4820 0.2330
Ga 0.5180 0.5180 0.7670
Ga 0.6484 0.6484 0.4509
Ga 0.7989 0.7989 0.9071
Au 0.0492 0.0492 0.3552
Au 0.2214 0.2214 0.3553
Au 0.3439 0.3439 0.0647
Au 0.3757 0.3757 0.8178
Au 0.5000 0.5000 0.5000
Au 0.6243 0.6243 0.1822
Au 0.6561 0.6561 0.9353
Au 0.7786 0.7786 0.6447
Au 0.9508 0.9508 0.6448

## Properties
- mass density (Mg/m³) = 13.019
- uncorrected energy (eV/cell) = -78.9
- calculated formation energy (meV/atom) = -500

---

# 3
Density functional theory data (PBE) for an optimized crystal structure of NaTcSeO5.

a b c (Å): 5.6663 5.6663 7.6703
angles (deg): 107.24 107.24 100.28
Fractional coordinates of all 16 atoms:
Na 0.0712 0.9288 0.7500
Na 0.9288 0.0712 0.2500
Tc 0.0000 0.5000 0.0000
Tc 0.5000 0.0000 0.5000
Se 0.4478 0.5522 0.7500
Se 0.5522 0.4478 0.2500
O 0.1884 0.2555 0.0438
O 0.2452 0.7548 0.2500
O 0.2477 0.6351 0.8785
O 0.2555 0.1884 0.5438
O 0.3649 0.7523 0.6215
O 0.6351 0.2477 0.3785
O 0.7445 0.8116 0.4562
O 0.7523 0.3649 0.1215
O 0.7548 0.2452 0.7500
O 0.8116 0.7445 0.9562

## Properties
- mass density (Mg/m³) = 4.327
- uncorrected energy (eV/cell) = -97.8
- raw formation energy (meV/atom) = -1118

---

# 4
Density functional theory data (PBE) for an optimized crystal structure of Mg2Cd5Hg3.

a b c (Å): 10.1571 10.1571 6.1943
angles (deg): 104.70 104.70 51.79
Fractional coordinates of all 20 atoms:
Mg 0.1061 0.2304 0.3265
Mg 0.2304 0.1061 0.8265
Mg 0.7696 0.8939 0.1735
Mg 0.8939 0.7696 0.6735
Cd 0.1741 0.6830 0.0618
Cd 0.2762 0.3901 0.6880
Cd 0.3170 0.8259 0.4382
Cd 0.3901 0.2762 0.1880
Cd 0.4464 0.5536 0.7500
Cd 0.5536 0.4464 0.2500
Cd 0.6099 0.7238 0.8120
Cd 0.6830 0.1741 0.5618
Cd 0.7238 0.6099 0.3120
Cd 0.8259 0.3170 0.9382
Hg 0.0416 0.5573 0.2640
Hg 0.0703 0.9297 0.7500
Hg 0.4427 0.9584 0.2360
Hg 0.5573 0.0416 0.7640
Hg 0.9297 0.0703 0.2500
Hg 0.9584 0.4427 0.7360

## Properties
- mass density (Mg/m³) = 8.358
- uncorrected energy (eV/cell) = -17.9
- calculated formation energy (meV/atom) = -29

---

# 5
Density functional theory data (PBE) for an optimized crystal structure of Li3Tl2Ag.

a b c (Å): 7.2739 7.2739 7.1911
angles (deg): 90.00 90.00 142.79
Fractional coordinates of all 12 atoms:
Li 0.0000 0.0000 0.2354
Li 0.0000 0.0000 0.7646
Li 0.3290 0.6710 0.2283
Li 0.3290 0.6710 0.7717
Li 0.6710 0.3290 0.2283
Li 0.6710 0.3290 0.7717
Tl 0.1654 0.8346 0.5000
Tl 0.5000 0.5000 0.0000
Tl 0.5000 0.5000 0.5000
Tl 0.8346 0.1654 0.5000
Ag 0.1666 0.8334 0.0000
Ag 0.8334 0.1666 0.0000

## Properties
- distance to the lowest polymorph of the same formula (eV per atom) = 0.006
- mass density (Mg/m³) = 7.758
- uncorrected energy (eV/cell) = -29.3
- calculated formation energy (meV/atom) = -219

---

# 6
Density functional theory data (PBE) for an optimized crystal structure of ScCdAu4.

a b c (Å): 5.5552 4.8266 4.8266
angles (deg): 105.65 90.00 90.00
Fractional coordinates of all 6 atoms:
Sc 0.0000 0.0000 0.0000
Cd 0.5000 0.2884 0.2884
Au 0.2494 0.4629 0.8443
Au 0.2494 0.8443 0.4629
Au 0.7506 0.4629 0.8443
Au 0.7506 0.8443 0.4629

## Properties
- distance to the lowest polymorph of the same formula (eV per atom) = 0.134
- mass density (Mg/m³) = 12.596
- uncorrected energy (eV/cell) = -22.3
- calculated formation energy (meV/atom) = -324

---

# 7
Density functional theory data (PBE) for an optimized crystal structure of LiTb2Pb3Se6.

a b c (Å): 9.6353 9.6353 8.6199
angles (deg): 105.83 105.83 25.39
Fractional coordinates of all 12 atoms:
Li 0.0000 0.0000 0.0000
Tb 0.3375 0.3375 0.6706
Tb 0.6625 0.6625 0.3294
Pb 0.0000 0.0000 0.5000
Pb 0.3392 0.3392 0.1581
Pb 0.6608 0.6608 0.8419
Se 0.1634 0.1634 0.0984
Se 0.1739 0.1739 0.5682
Se 0.4938 0.4938 0.7625
Se 0.5062 0.5062 0.2375
Se 0.8261 0.8261 0.4318
Se 0.8366 0.8366 0.9016

## Properties
- mass density (Mg/m³) = 7.157
- uncorrected energy (eV/cell) = -56.1
- raw formation energy (meV/atom) = -1078

---

# 8
Density functional theory data (PBE) for an optimized crystal structure of CsNdAg2.

a b c (Å): 3.9710 3.9710 8.7445
angles (deg): 90.00 90.00 90.00
Fractional coordinates of all 4 atoms:
Cs 0.0000 0.0000 0.0000
Nd 0.0000 0.0000 0.5000
Ag 0.5000 0.5000 0.3294
Ag 0.5000 0.5000 0.6706

## Properties
- mass density (Mg/m³) = 5.936
- uncorrected energy (eV/cell) = -11.5
- calculated formation energy (meV/atom) = -56